(1)
This record from Alexandria via LeMat-Bulk describes a relaxed Ti6SiC3 crystal. The functional is GGA-PBE. Values from VASP.

Calculated values
The value obtained for the size of the total moment is 0.00 μB/atom. The value obtained for the formation energy without anion corrections is -0.674 eV/atom. The density of states at the Fermi level comes out at 4.87 states/eV/f.u. Its symmetry is P2_1/m (11). As for the crystal system: monoclinic.

Cell and atoms, written as Quantum ESPRESSO input:
```
&SYSTEM
  ibrav = 0, nat = 20, ntyp = 3
/
ATOMIC_SPECIES
Ti 47.87 Ti.upf
Si 28.09 Si.upf
C 12.01 C.upf
ATOMIC_POSITIONS crystal
Ti 0.0271 0.2500 0.3885
Ti 0.1195 0.2500 0.9589
Ti 0.1985 0.7500 0.2580
Ti 0.2901 0.7500 0.7566
Ti 0.3587 0.2500 0.5329
Ti 0.4254 0.7500 0.0773
Ti 0.5746 0.2500 0.9227
Ti 0.6413 0.7500 0.4671
Ti 0.7099 0.2500 0.2434
Ti 0.8015 0.2500 0.7420
Ti 0.8805 0.7500 0.0411
Ti 0.9729 0.7500 0.6115
Si 0.4317 0.2500 0.2903
Si 0.5683 0.7500 0.7097
C 0.0333 0.2500 0.1585
C 0.1812 0.7500 0.4899
C 0.3382 0.2500 0.9155
C 0.6619 0.7500 0.0845
C 0.8188 0.2500 0.5101
C 0.9667 0.7500 0.8415
CELL_PARAMETERS angstrom
9.1365 0.0000 0.0000
0.0000 3.1588 0.0000
-3.3634 0.0000 8.8246
```


(2)
This record from Alexandria via LeMat-Bulk describes a relaxed Ti5Si3C crystal. The functional is GGA-PBE. Values from VASP.

Calculated values
The value obtained for the size of the total moment is 0.00 μB/atom. The value obtained for the formation energy without anion corrections is -0.818 eV/atom. The density of states at the Fermi level comes out at 6.53 states/eV/f.u. Its symmetry is P6_3/mcm (193). As for the crystal system: hexagonal.

Cell and atoms, written as Quantum ESPRESSO input:
```
&SYSTEM
  ibrav = 0, nat = 18, ntyp = 3
/
ATOMIC_SPECIES
Ti 47.87 Ti.upf
Si 28.09 Si.upf
C 12.01 C.upf
ATOMIC_POSITIONS crystal
Ti 0.0000 0.2320 0.2500
Ti 0.0000 0.7680 0.7500
Ti 0.2320 0.0000 0.2500
Ti 0.2320 0.2320 0.7500
Ti 0.3333 0.6667 0.0000
Ti 0.3333 0.6667 0.5000
Ti 0.6667 0.3333 0.0000
Ti 0.6667 0.3333 0.5000
Ti 0.7680 0.0000 0.7500
Ti 0.7680 0.7680 0.2500
Si 0.0000 0.4061 0.7500
Si 0.0000 0.5939 0.2500
Si 0.4061 0.0000 0.7500
Si 0.4061 0.4061 0.2500
Si 0.5939 0.0000 0.2500
Si 0.5939 0.5939 0.7500
C 0.0000 0.0000 0.0000
C 0.0000 0.0000 0.5000
CELL_PARAMETERS angstrom
7.4712 0.0000 0.0000
-3.7356 6.4703 0.0000
0.0000 0.0000 5.1758
```


(3)
This record from Alexandria via LeMat-Bulk describes a relaxed Ti3SiC2 crystal. The functional is GGA-PBE. Values from VASP.

Calculated values
The value obtained for the size of the total moment is 0.00 μB/atom. The value obtained for the formation energy without anion corrections is -0.821 eV/atom. The density of states at the Fermi level comes out at 2.49 states/eV/f.u. Its symmetry is P6_3/mmc (194). As for the crystal system: hexagonal.

Cell and atoms, written as Quantum ESPRESSO input:
```
&SYSTEM
  ibrav = 0, nat = 12, ntyp = 3
/
ATOMIC_SPECIES
Ti 47.87 Ti.upf
Si 28.09 Si.upf
C 12.01 C.upf
ATOMIC_POSITIONS crystal
Ti 0.0000 0.0000 0.0000
Ti 0.0000 0.0000 0.5000
Ti 0.3333 0.6667 0.1356
Ti 0.3333 0.6667 0.3644
Ti 0.6667 0.3333 0.6356
Ti 0.6667 0.3333 0.8644
Si 0.0000 0.0000 0.2500
Si 0.0000 0.0000 0.7500
C 0.3333 0.6667 0.5725
C 0.3333 0.6667 0.9275
C 0.6667 0.3333 0.0725
C 0.6667 0.3333 0.4275
CELL_PARAMETERS angstrom
3.0772 0.0000 0.0000
-1.5386 2.6649 0.0000
0.0000 0.0000 17.6855
```